No. 1
# YZr2ScOs, optimized geometry, DFT GGA-PBE
data_YZr2ScOs
_chemical_formula_sum 'Y1 Zr2 Sc1 Os1'
_symmetry_space_group_name_H-M 'P 4/m m m'
_symmetry_Int_Tables_number 123
_symmetry_space_group_name_Hall '-P 4 2'
_cell_length_a 4.7956
_cell_length_b 4.7956
_cell_length_c 5.1670
_cell_angle_alpha 90.00
_cell_angle_beta 90.00
_cell_angle_gamma 90.00
loop_
_atom_site_label
_atom_site_type_symbol
_atom_site_fract_x
_atom_site_fract_y
_atom_site_fract_z
Y1 Y 0.0000 0.0000 0.0000
Zr1 Zr 0.0000 0.5000 0.5000
Sc1 Sc 0.0000 0.0000 0.5000
Os1 Os 0.5000 0.5000 0.0000
# - Calculated density: 7.078 g/cm3
# - Calculated formation energy: 1528 meV/atom

=====

No. 2
# Sc4ZnOs, optimized geometry, DFT GGA-PBE
data_Sc4ZnOs
_chemical_formula_sum 'Sc4 Zn1 Os1'
_symmetry_space_group_name_H-M 'P 4/m m m'
_symmetry_Int_Tables_number 123
_symmetry_space_group_name_Hall '-P 4 2'
_cell_length_a 3.2728
_cell_length_b 3.2728
_cell_length_c 11.4610
_cell_angle_alpha 90.00
_cell_angle_beta 90.00
_cell_angle_gamma 90.00
loop_
_atom_site_label
_atom_site_type_symbol
_atom_site_fract_x
_atom_site_fract_y
_atom_site_fract_z
Sc1 Sc 0.0000 0.0000 0.1330
Sc2 Sc 0.5000 0.5000 0.3546
Zn1 Zn 0.0000 0.0000 0.5000
Os1 Os 0.5000 0.5000 0.0000
# - Calculated density: 5.890 g/cm3
# - Calculated formation energy: -288 meV/atom
# - Energy above the most stable polymorph in this dataset: 0.00 eV per formula unit

=====

One value per record, in order, for E_tot: -0.492 -0.485 Ry per atom.